VASP calculation (PBE-GGA) on a relaxed structure of Mn2InPt.

Computed properties:
Total moment   1.81 μB/atom
DOS at the Fermi energy   3.10 states/eV/f.u.
E_form   -0.118 eV/atom

abc: 4.0442 4.0442 3.9428
angles: 90.00 90.00 90.00
Space group P4/mmm (No. 123)
Symmetry-distinct sites (fractional):
Mn 0.0000 0.5000 0.0000 x2
In 0.0000 0.0000 0.5000 x1
Pt 0.5000 0.5000 0.5000 x1


VASP calculation (PBE-GGA) on a relaxed structure of Nd4In5Hg.

Computed properties:
Total moment   0.00 μB/atom
DOS at the Fermi energy   8.96 states/eV/f.u.
E_form   -0.183 eV/atom

abc: 7.5962 10.4299 7.7070
angles: 90.00 90.00 90.00
Space group Pmmn (No. 59, origin choice 2)
Symmetry-distinct sites (fractional):
Nd 0.0091 0.2500 0.2076 x4
Nd 0.2500 0.5600 0.4752 x4
In 0.0573 0.0625 0.8309 x8
In 0.2500 0.7500 0.1205 x2
Hg 0.2500 0.2500 0.5540 x2


Repeat the first record exactly.
VASP calculation (PBE-GGA) on a relaxed structure of Mn2InPt.

Computed properties:
Total moment   1.81 μB/atom
DOS at the Fermi energy   3.10 states/eV/f.u.
E_form   -0.118 eV/atom

abc: 4.0442 4.0442 3.9428
angles: 90.00 90.00 90.00
Space group P4/mmm (No. 123)
Symmetry-distinct sites (fractional):
Mn 0.0000 0.5000 0.0000 x2
In 0.0000 0.0000 0.5000 x1
Pt 0.5000 0.5000 0.5000 x1


Question: Among the records above, which one has the highest DOS at the Fermi energy?
Answer: Nd4In5Hg